Entry 1:
Material: NdBe2BRu2
Method: DFT, GGA-PBE
State: optimized geometry

Calculated volume ... 15.0 Å³/atom
Calculated density ... 6.942 g/cm3
Crystal system ... tetragonal
ΔE_f ... -0.37 eV/atom
DOS(E_F) ... 0.29 states/eV per atom

abc: 4.1198 4.1198 5.2879
angles: 90.00 90.00 90.00
Fractional positions:
Nd1 0.0000 0.0000 0.0000
Be1 0.5000 0.5000 0.2819
Be2 0.5000 0.5000 0.7181
B1 0.0000 0.0000 0.5000
Ru1 0.0000 0.5000 0.5000
Ru2 0.5000 0.0000 0.5000

Entry 2:
Material: CuIF6
Method: DFT, GGA-PBE
State: optimized geometry

Calculated volume ... 16.1 Å³/atom
ΔE_f (raw) ... -1433 meV/atom
Calculated density ... 3.934 g/cm3
Crystal system ... trigonal

abc: 5.8938 5.8938 5.8938
angles: 55.15 55.15 55.15
Fractional positions:
Cu1 0.0000 0.0000 0.0000
I1 0.5000 0.5000 0.5000
F1 0.1516 0.3547 0.7472
F2 0.2528 0.8484 0.6453
F3 0.3547 0.7472 0.1516
F4 0.6453 0.2528 0.8484
F5 0.7472 0.1516 0.3547
F6 0.8484 0.6453 0.2528

Entry 3:
Material: ZnW2Se
Method: DFT, GGA-PBE
State: optimized geometry

Calculated volume ... 16.1 Å³/atom
ΔE_f (raw) ... 676 meV/atom
Calculated density ... 13.214 g/cm3
Crystal system ... monoclinic
DOS(E_F) ... 0.70 states/eV per atom

abc: 5.5280 8.6264 2.8805
angles: 90.00 110.46 90.00
Fractional positions:
Zn1 0.0000 0.0000 0.0000
Zn2 0.5000 0.5000 0.0000
W1 0.2500 0.2500 0.5000
W2 0.2500 0.7500 0.5000
W3 0.7500 0.2500 0.5000
W4 0.7500 0.7500 0.5000
Se1 0.0000 0.5000 0.0000
Se2 0.5000 0.0000 0.0000

Entry 4:
Material: Ac6BrO8
Method: DFT, GGA-PBE
State: optimized geometry

Calculated volume ... 20.2 Å³/atom
ΔE_f (raw) ... -3086 meV/atom
Calculated density ... 8.598 g/cm3
Crystal system ... trigonal
DOS(E_F) ... 0.13 states/eV per atom

abc: 7.8661 7.8661 7.8661
angles: 54.89 54.89 54.89
Fractional positions:
Ac1 0.0927 0.7254 0.4499
Ac2 0.2746 0.5501 0.9073
Ac3 0.4499 0.0927 0.7254
Ac4 0.5501 0.9073 0.2746
Ac5 0.7254 0.4499 0.0927
Ac6 0.9073 0.2746 0.5501
Br1 0.0000 0.0000 0.0000
O1 0.1163 0.4315 0.8103
O2 0.1897 0.8837 0.5685
O3 0.3291 0.3291 0.3291
O4 0.4315 0.8103 0.1163
O5 0.5685 0.1897 0.8837
O6 0.6709 0.6709 0.6709
O7 0.8103 0.1163 0.4315
O8 0.8837 0.5685 0.1897

Entry 5:
Material: BaNaAc2
Method: DFT, GGA-PBE
State: optimized geometry

Calculated volume ... 46.3 Å³/atom
Calculated density ... 5.505 g/cm3
Crystal system ... tetragonal
ΔE_f ... 0.19 eV/atom
DOS(E_F) ... 1.36 states/eV per atom

abc: 4.0411 4.0411 11.3471
angles: 90.00 90.00 90.00
Fractional positions:
Ba1 0.0000 0.0000 0.0000
Na1 0.0000 0.0000 0.5000
Ac1 0.5000 0.5000 0.2726
Ac2 0.5000 0.5000 0.7274

Entry 6:
Material: Ca3Y3MgS8
Method: DFT, GGA-PBE
State: optimized geometry

Calculated volume ... 23.3 Å³/atom
ΔE_f (raw) ... -1998 meV/atom
Calculated density ... 3.179 g/cm3
Crystal system ... trigonal
DOS(E_F) ... 0.26 states/eV per atom

abc: 7.9554 7.9554 7.9554
angles: 59.12 59.12 59.12
Fractional positions:
Ca1 0.0000 0.5000 0.5000
Ca2 0.5000 0.0000 0.5000
Ca3 0.5000 0.5000 0.0000
Y1 0.0000 0.0000 0.5000
Y2 0.0000 0.5000 0.0000
Y3 0.5000 0.0000 0.0000
Mg1 0.5000 0.5000 0.5000
S1 0.2480 0.2480 0.2480
S2 0.2543 0.7387 0.7387
S3 0.2613 0.2613 0.7457
S4 0.2613 0.7457 0.2613
S5 0.7387 0.2543 0.7387
S6 0.7387 0.7387 0.2543
S7 0.7457 0.2613 0.2613
S8 0.7520 0.7520 0.7520

Entry 7:
Material: HgIr2Os
Method: DFT, GGA-PBE
State: optimized geometry

Calculated volume ... 15.9 Å³/atom
Calculated density ... 20.285 g/cm3
Crystal system ... tetragonal
ΔE_f ... 0.76 eV/atom
DOS(E_F) ... 1.71 states/eV per atom

abc: 4.0133 4.0133 3.9402
angles: 90.00 90.00 90.00
Fractional positions:
Hg1 0.0000 0.0000 0.0000
Ir1 0.0000 0.5000 0.5000
Ir2 0.5000 0.0000 0.5000
Os1 0.5000 0.5000 0.0000

Entry 8:
Material: Na2LaY
Method: DFT, GGA-PBE
State: optimized geometry

Calculated volume ... 34.4 Å³/atom
Calculated density ... 3.305 g/cm3
Crystal system ... cubic
ΔE_f ... 0.39 eV/atom
DOS(E_F) ... 1.65 states/eV per atom

abc: 8.1948 8.1948 8.1948
angles: 90.00 90.00 90.00
Fractional positions:
Na1 0.2500 0.2500 0.2500
Na2 0.2500 0.2500 0.7500
Na3 0.2500 0.7500 0.2500
Na4 0.2500 0.7500 0.7500
Na5 0.7500 0.2500 0.2500
Na6 0.7500 0.2500 0.7500
Na7 0.7500 0.7500 0.2500
Na8 0.7500 0.7500 0.7500
La1 0.0000 0.0000 0.0000
La2 0.0000 0.5000 0.5000
La3 0.5000 0.0000 0.5000
La4 0.5000 0.5000 0.0000
Y1 0.0000 0.0000 0.5000
Y2 0.0000 0.5000 0.0000
Y3 0.5000 0.0000 0.0000
Y4 0.5000 0.5000 0.5000

Entry 9:
Material: Al2AsWBr
Method: DFT, GGA-PBE
State: optimized geometry

Calculated volume ... 25.4 Å³/atom
ΔE_f (raw) ... 1524 meV/atom
Calculated density ... 5.138 g/cm3
Crystal system ... tetragonal
DOS(E_F) ... 0.95 states/eV per atom

abc: 4.9893 4.9893 5.0978
angles: 90.00 90.00 90.00
Fractional positions:
Al1 0.0000 0.5000 0.0000
Al2 0.5000 0.0000 0.0000
As1 0.0000 0.0000 0.0000
W1 0.5000 0.5000 0.5000
Br1 0.0000 0.0000 0.5000

Entry 10:
Material: LiPaIr2
Method: DFT, GGA-PBE
State: optimized geometry

Calculated volume ... 17.5 Å³/atom
Calculated density ... 14.776 g/cm3
Crystal system ... tetragonal
ΔE_f ... -0.57 eV/atom
DOS(E_F) ... 0.45 states/eV per atom

abc: 3.4736 3.4736 5.7971
angles: 90.00 90.00 90.00
Fractional positions:
Li1 0.0000 0.0000 0.0000
Pa1 0.0000 0.0000 0.5000
Ir1 0.5000 0.5000 0.2416
Ir2 0.5000 0.5000 0.7584

Entry 11:
Material: Mn5Tc4
Method: DFT, GGA-PBE
State: optimized geometry

Calculated volume ... 12.5 Å³/atom
Calculated density ... 9.805 g/cm3
Crystal system ... tetragonal
ΔE_f ... 0.10 eV/atom
DOS(E_F) ... 1.17 states/eV per atom

abc: 5.8416 5.8416 5.8416
angles: 95.67 95.67 143.37
Fractional positions:
Mn1 0.0000 0.0000 0.0000
Mn2 0.3398 0.3398 0.6796
Mn3 0.3398 0.6602 0.0000
Mn4 0.6602 0.3398 0.0000
Mn5 0.6602 0.6602 0.3204
Tc1 0.0000 0.3168 0.3168
Tc2 0.0000 0.6832 0.6832
Tc3 0.3168 0.0000 0.3168
Tc4 0.6832 0.0000 0.6832

Entry 12:
Material: TcMoRh3
Method: DFT, GGA-PBE
State: optimized geometry

Calculated volume ... 14.5 Å³/atom
Calculated density ... 11.480 g/cm3
Crystal system ... monoclinic
ΔE_f ... -0.10 eV/atom
DOS(E_F) ... 1.02 states/eV per atom

abc: 7.2154 7.2154 5.5064
angles: 101.02 101.02 31.17
Fractional positions:
Tc1 0.2017 0.2017 0.3378
Tc2 0.7983 0.7983 0.6622
Mo1 0.3971 0.3971 0.4486
Mo2 0.6029 0.6029 0.5514
Rh1 0.0023 0.0023 0.2554
Rh2 0.1982 0.1982 0.8447
Rh3 0.3983 0.3983 0.9443
Rh4 0.6017 0.6017 0.0557
Rh5 0.8018 0.8018 0.1553
Rh6 0.9977 0.9977 0.7446